# 1
{
  "formula": "Gd3TmNi",
  "functional": "PBE-GGA",
  "state": "relaxed",
  "lattice": [[5.342, 0.000, 0.000], [0.000, 5.342, 0.000], [0.000, 0.000, 5.342]],
  "species": ["Gd", "Gd", "Gd", "Tm", "Ni"],
  "fractional_positions": [[0.000, 0.000, 0.500], [0.000, 0.500, 0.000], [0.500, 0.000, 0.000], [0.500, 0.500, 0.500], [0.000, 0.000, 0.000]],
  "mass_density_g_cm3": 7.62,
  "formation_enthalpy_0k_ev_per_fu": -0.06,
  "energy_ev_per_cell": -52.55,
  "m_tot_mub_per_atom": 4.7176
}

---

# 2
{
  "formula": "GdTmNi",
  "functional": "PBE-GGA",
  "state": "relaxed",
  "lattice": [[3.907, 0.000, 0.000], [-1.954, 3.384, 0.000], [0.000, 0.000, 6.131]],
  "species": ["Gd", "Tm", "Ni"],
  "fractional_positions": [[0.000, 0.000, 0.000], [0.333, 0.667, 0.483], [0.667, 0.333, 0.252]],
  "relative_energy_mev_per_atom": 85,
  "mass_density_g_cm3": 7.88,
  "formation_enthalpy_0k_ev_per_fu": -0.50,
  "energy_ev_per_cell": -24.83,
  "m_tot_mub_per_atom": 2.4116
}

---

# 3
{
  "formula": "GdTmNi4",
  "functional": "PBE-GGA",
  "state": "relaxed",
  "lattice": [[0.000, 3.576, 3.576], [3.576, 0.000, 3.576], [3.576, 3.576, 0.000]],
  "species": ["Gd", "Tm", "Ni", "Ni", "Ni", "Ni"],
  "fractional_positions": [[0.000, 0.000, 0.000], [0.250, 0.250, 0.250], [0.126, 0.625, 0.625], [0.625, 0.126, 0.625], [0.625, 0.625, 0.126], [0.625, 0.625, 0.625]],
  "mass_density_g_cm3": 10.18,
  "formation_enthalpy_0k_ev_per_fu": -2.73,
  "energy_ev_per_cell": -44.40,
  "m_tot_mub_per_atom": 1.1813
}

---

# 4
{
  "formula": "Gd2TmNi",
  "functional": "PBE-GGA",
  "state": "relaxed",
  "lattice": [[3.496, 0.000, 0.000], [0.000, 3.496, 0.000], [0.000, 0.000, 8.443]],
  "species": ["Gd", "Gd", "Tm", "Ni"],
  "fractional_positions": [[0.000, 0.000, 0.192], [0.000, 0.000, 0.808], [0.500, 0.500, 0.500], [0.500, 0.500, 0.000]],
  "relative_energy_mev_per_atom": 0,
  "mass_density_g_cm3": 8.72,
  "formation_enthalpy_0k_ev_per_fu": -0.50,
  "energy_ev_per_cell": -38.92,
  "m_tot_mub_per_atom": 3.7107
}

---

# 5
{
  "formula": "Gd2TmNi",
  "functional": "PBE-GGA",
  "state": "relaxed",
  "lattice": [[3.871, 0.000, 0.000], [-1.935, 3.352, 0.000], [0.000, 0.000, 24.904]],
  "species": ["Gd", "Gd", "Gd", "Gd", "Gd", "Gd", "Tm", "Tm", "Tm", "Ni", "Ni", "Ni"],
  "fractional_positions": [[0.000, 0.000, 0.228], [0.000, 0.000, 0.772], [0.333, 0.667, 0.439], [0.333, 0.667, 0.894], [0.667, 0.333, 0.106], [0.667, 0.333, 0.561], [0.000, 0.000, 0.000], [0.333, 0.667, 0.667], [0.667, 0.333, 0.333], [0.000, 0.000, 0.500], [0.333, 0.667, 0.167], [0.667, 0.333, 0.833]],
  "relative_energy_mev_per_atom": 123,
  "mass_density_g_cm3": 8.36,
  "formation_enthalpy_0k_ev_per_fu": -0.01,
  "energy_ev_per_cell": -115.27,
  "m_tot_mub_per_atom": 3.5534
}

---

# 6
{
  "formula": "GdTmNi2",
  "functional": "PBE-GGA",
  "state": "relaxed",
  "lattice": [[6.741, 0.000, 0.000], [0.000, 6.741, 0.000], [0.000, 0.000, 6.741]],
  "species": ["Gd", "Gd", "Gd", "Gd", "Tm", "Tm", "Tm", "Tm", "Ni", "Ni", "Ni", "Ni", "Ni", "Ni", "Ni", "Ni"],
  "fractional_positions": [[0.000, 0.000, 0.000], [0.000, 0.500, 0.500], [0.500, 0.000, 0.500], [0.500, 0.500, 0.000], [0.000, 0.000, 0.500], [0.000, 0.500, 0.000], [0.500, 0.000, 0.000], [0.500, 0.500, 0.500], [0.250, 0.250, 0.250], [0.250, 0.250, 0.750], [0.250, 0.750, 0.250], [0.250, 0.750, 0.750], [0.750, 0.250, 0.250], [0.750, 0.250, 0.750], [0.750, 0.750, 0.250], [0.750, 0.750, 0.750]],
  "relative_energy_mev_per_atom": 2,
  "mass_density_g_cm3": 9.62,
  "formation_enthalpy_0k_ev_per_fu": -1.56,
  "energy_ev_per_cell": -126.70,
  "m_tot_mub_per_atom": 1.8082
}

---

# 7
{
  "formula": "GdTmNi",
  "functional": "PBE-GGA",
  "state": "relaxed",
  "lattice": [[3.391, 0.000, 0.000], [0.000, 3.391, 0.000], [0.000, 0.000, 12.382]],
  "species": ["Gd", "Gd", "Tm", "Tm", "Ni", "Ni"],
  "fractional_positions": [[0.000, 0.000, 0.000], [0.500, 0.500, 0.500], [0.000, 0.000, 0.263], [0.500, 0.500, 0.763], [0.000, 0.000, 0.641], [0.500, 0.500, 0.141]],
  "relative_energy_mev_per_atom": 0,
  "mass_density_g_cm3": 8.98,
  "formation_enthalpy_0k_ev_per_fu": -0.76,
  "energy_ev_per_cell": -50.18,
  "m_tot_mub_per_atom": 2.4243
}

---

# 8
{
  "formula": "GdTmZnNi",
  "functional": "PBE-GGA",
  "state": "relaxed",
  "lattice": [[6.930, 0.000, 0.000], [0.000, 6.930, 0.000], [0.000, 0.000, 6.930]],
  "species": ["Gd", "Gd", "Gd", "Gd", "Tm", "Tm", "Tm", "Tm", "Zn", "Zn", "Zn", "Zn", "Ni", "Ni", "Ni", "Ni"],
  "fractional_positions": [[0.000, 0.000, 0.000], [0.000, 0.500, 0.500], [0.500, 0.000, 0.500], [0.500, 0.500, 0.000], [0.000, 0.000, 0.500], [0.000, 0.500, 0.000], [0.500, 0.000, 0.000], [0.500, 0.500, 0.500], [0.250, 0.250, 0.750], [0.250, 0.750, 0.250], [0.750, 0.250, 0.250], [0.750, 0.750, 0.750], [0.250, 0.250, 0.250], [0.250, 0.750, 0.750], [0.750, 0.250, 0.750], [0.750, 0.750, 0.250]],
  "mass_density_g_cm3": 8.99,
  "formation_enthalpy_0k_ev_per_fu": -1.39,
  "energy_ev_per_cell": -107.97,
  "m_tot_mub_per_atom": 1.7816
}

---

# 9
{
  "formula": "GdUNi4",
  "functional": "PBE-GGA",
  "state": "relaxed",
  "lattice": [[0.000, 3.568, 3.568], [3.568, 0.000, 3.568], [3.568, 3.568, 0.000]],
  "species": ["Gd", "U", "Ni", "Ni", "Ni", "Ni"],
  "fractional_positions": [[0.000, 0.000, 0.000], [0.250, 0.250, 0.250], [0.127, 0.624, 0.624], [0.624, 0.127, 0.624], [0.624, 0.624, 0.127], [0.624, 0.624, 0.624]],
  "mass_density_g_cm3": 11.52,
  "formation_enthalpy_0k_ev_per_fu": -1.38,
  "energy_ev_per_cell": -49.88,
  "m_tot_mub_per_atom": 0.7635
}

---

# 10
{
  "formula": "GdVNi4",
  "functional": "PBE-GGA",
  "state": "relaxed",
  "lattice": [[0.000, 3.480, 3.480], [3.480, 0.000, 3.480], [3.480, 3.480, 0.000]],
  "species": ["Gd", "V", "Ni", "Ni", "Ni", "Ni"],
  "fractional_positions": [[0.000, 0.000, 0.000], [0.750, 0.750, 0.750], [0.376, 0.376, 0.376], [0.376, 0.376, 0.871], [0.376, 0.871, 0.376], [0.871, 0.376, 0.376]],
  "mass_density_g_cm3": 8.73,
  "formation_enthalpy_0k_ev_per_fu": -0.88,
  "energy_ev_per_cell": -47.21,
  "m_tot_mub_per_atom": 1.5786
}

---

# 11
{
  "formula": "GdVNi2",
  "functional": "PBE-GGA",
  "state": "relaxed",
  "lattice": [[4.079, 0.000, 0.000], [-2.040, 3.533, 0.000], [0.000, 0.000, 14.454]],
  "species": ["Gd", "Gd", "Gd", "V", "V", "V", "Ni", "Ni", "Ni", "Ni", "Ni", "Ni"],
  "fractional_positions": [[0.000, 0.000, 0.000], [0.333, 0.667, 0.667], [0.667, 0.333, 0.333], [0.000, 0.000, 0.500], [0.333, 0.667, 0.167], [0.667, 0.333, 0.833], [0.000, 0.000, 0.199], [0.000, 0.000, 0.801], [0.333, 0.667, 0.468], [0.333, 0.667, 0.866], [0.667, 0.333, 0.134], [0.667, 0.333, 0.532]],
  "mass_density_g_cm3": 7.79,
  "formation_enthalpy_0k_ev_per_fu": -0.83,
  "energy_ev_per_cell": -106.77,
  "m_tot_mub_per_atom": 1.7099
}

---

# 12
{
  "formula": "Gd2VNi",
  "functional": "PBE-GGA",
  "state": "relaxed",
  "lattice": [[3.451, 0.000, 0.000], [-1.725, 2.989, 0.000], [0.000, 0.000, 28.469]],
  "species": ["Gd", "Gd", "Gd", "Gd", "Gd", "Gd", "V", "V", "V", "Ni", "Ni", "Ni"],
  "fractional_positions": [[0.000, 0.000, 0.101], [0.000, 0.000, 0.899], [0.333, 0.667, 0.565], [0.333, 0.667, 0.768], [0.667, 0.333, 0.232], [0.667, 0.333, 0.435], [0.000, 0.000, 0.000], [0.333, 0.667, 0.667], [0.667, 0.333, 0.333], [0.000, 0.000, 0.500], [0.333, 0.667, 0.167], [0.667, 0.333, 0.833]],
  "mass_density_g_cm3": 7.20,
  "formation_enthalpy_0k_ev_per_fu": 2.32,
  "energy_ev_per_cell": -122.23,
  "m_tot_mub_per_atom": 4.4026
}

---

# 13
{
  "formula": "GdYNi",
  "functional": "PBE-GGA",
  "state": "relaxed",
  "lattice": [[6.757, 0.000, 0.000], [0.000, 6.757, 0.000], [0.000, 0.000, 6.757]],
  "species": ["Gd", "Gd", "Gd", "Gd", "Y", "Y", "Y", "Y", "Ni", "Ni", "Ni", "Ni"],
  "fractional_positions": [[0.000, 0.000, 0.000], [0.000, 0.500, 0.500], [0.500, 0.000, 0.500], [0.500, 0.500, 0.000], [0.000, 0.000, 0.500], [0.000, 0.500, 0.000], [0.500, 0.000, 0.000], [0.500, 0.500, 0.500], [0.250, 0.250, 0.250], [0.250, 0.750, 0.750], [0.750, 0.250, 0.750], [0.750, 0.750, 0.250]],
  "relative_energy_mev_per_atom": 92,
  "mass_density_g_cm3": 6.56,
  "formation_enthalpy_0k_ev_per_fu": -0.38,
  "energy_ev_per_cell": -106.84,
  "m_tot_mub_per_atom": 2.4042
}

---

# 14
{
  "formula": "Gd3YNi",
  "functional": "PBE-GGA",
  "state": "relaxed",
  "lattice": [[5.361, 0.000, 0.000], [0.000, 5.361, 0.000], [0.000, 0.000, 5.361]],
  "species": ["Gd", "Gd", "Gd", "Y", "Ni"],
  "fractional_positions": [[0.000, 0.000, 0.500], [0.000, 0.500, 0.000], [0.500, 0.000, 0.000], [0.500, 0.500, 0.500], [0.000, 0.000, 0.000]],
  "mass_density_g_cm3": 6.68,
  "formation_enthalpy_0k_ev_per_fu": -0.15,
  "energy_ev_per_cell": -54.64,
  "m_tot_mub_per_atom": 4.7032
}

---

# 15
{
  "formula": "GdYNi",
  "functional": "PBE-GGA",
  "state": "relaxed",
  "lattice": [[3.428, 0.000, 0.000], [0.000, 3.428, 0.000], [0.000, 0.000, 12.551]],
  "species": ["Gd", "Gd", "Y", "Y", "Ni", "Ni"],
  "fractional_positions": [[0.000, 0.000, 0.000], [0.500, 0.500, 0.500], [0.000, 0.000, 0.739], [0.500, 0.500, 0.239], [0.000, 0.000, 0.367], [0.500, 0.500, 0.867]],
  "relative_energy_mev_per_atom": 0,
  "mass_density_g_cm3": 6.87,
  "formation_enthalpy_0k_ev_per_fu": -0.66,
  "energy_ev_per_cell": -53.97,
  "m_tot_mub_per_atom": 2.4179
}